# Ho2PuSe4 PBE relaxed
# E_form (uncorrected) = -1.74 eV/atom
# Uncorrected energy = -7.088 eV per atom
# Excess energy over the best structure of this formula in the dataset = 0.0 meV/atom
data_Ho2PuSe4
_cell_length_a 4.034
_cell_length_b 13.368
_cell_length_c 13.767
_cell_angle_alpha 90.00
_cell_angle_beta 90.00
_cell_angle_gamma 90.00
_symmetry_space_group_name_H-M 'C m c m'
_symmetry_Int_Tables_number 63
_symmetry_space_group_name_Hall '-C 2c 2'
loop_
_atom_site_label
_atom_site_type_symbol
_atom_site_fract_x
_atom_site_fract_y
_atom_site_fract_z
_atom_site_occupancy
Ho1 Ho 0.000 0.133 0.068 1
Pu1 Pu 0.000 0.381 0.250 1
Se1 Se 0.000 0.041 0.250 1
Se2 Se 0.000 0.227 0.621 1
Se3 Se 0.000 0.500 0.000 1